Li2LaAgHg2 | PBE | relaxed

Lattice parameters (Å, degrees): 4.788 4.788 6.144 90.00 90.00 90.00
Element x y z (fractional)
La 0.000 0.000 0.500
Hg 0.500 0.500 0.740
Hg 0.500 0.500 0.260
Li 0.000 0.500 0.000
Li 0.500 0.000 0.000
Ag 0.000 0.000 0.000

Output
Space group: P4/mmm, No. 123
Energy (eV per atom): -2.209
Magnetic moment (μB/cell): 0.0
Energy of formation from the pure elements (eV per atom): -0.174